Record 1
Compound: GdErGa2Ni4
Source: the Open Quantum Materials Database
Functional: PBE
Structure: relaxed

```
GdErGa2Ni4
1.0
-3.5471 -1.4487 -1.5890
3.5134 -2.1555 -0.4637
-1.6405 -4.3065 7.5883
Er Ga Gd Ni
1 2 1 4
Cartesian
-1.1936 -1.6843 -1.2139
-0.4038 -1.0601 1.8679
-1.2367 -3.2464 5.7204
0.3396 -4.0732 2.9553
0.8617 -2.7028 0.5406
-1.6992 -3.0116 1.1249
-2.3285 -4.6635 4.0356
-0.1824 -5.4436 5.3701
```

## Properties
The calculation puts the total energy at -0.1934 Ha/atom. As for the mass density: 8.77 g cm⁻³.



Record 2
Compound: Rb3U2Se7
Source: the Open Quantum Materials Database
Functional: PBE
Structure: relaxed

```
Rb3U2Se7
1.0
2.7454 -13.7019 0.0000
2.7454 13.7019 0.0000
0.0000 0.0000 5.4427
Rb Se U
3 7 2
Cartesian
0.0000 0.0000 2.7214
2.7454 -8.5671 2.7214
2.7454 8.5671 2.7214
2.7454 -11.0251 0.0000
2.7454 -5.3573 0.0000
2.7454 0.0000 0.0000
2.7454 5.3573 0.0000
2.7454 11.0251 0.0000
2.7454 -2.6847 2.7214
2.7454 2.6847 2.7214
2.7454 -2.7518 0.0000
2.7454 2.7518 0.0000
```

## Properties
The calculation puts the total energy at -0.1947 Ha/atom. As for the mass density: 5.21 g cm⁻³.